Record 1
DFT (PBE) results for crystalline Mn2OsSe at its relaxed geometry.

Values from the calculation:
raw formation energy	0.30	eV/atom
ρ	11.1	g/cm3

Unit cell a=8.3317 b=2.9663 c=4.6146 alpha=90.00 beta=96.56 gamma=90.00
Space group Cm (No. 8)
Unique sites:
Mn1 0.0000 0.0000 0.0000
Mn2 0.2418 0.5000 0.2610
Os1 0.2655 0.0000 0.7921
Se1 0.4812 0.0000 0.4413

---

Record 2
DFT (PBE) results for crystalline Mn2OsSe at its relaxed geometry.

Values from the calculation:
raw formation energy	0.36	eV/atom
ρ	11.1	g/cm3

Unit cell a=3.0314 b=4.2342 c=4.4232 alpha=90.00 beta=90.00 gamma=90.00
Space group Pmmm (No. 47)
Unique sites:
Mn1 0.0000 0.0000 0.0000
Mn2 0.5000 0.0000 0.5000
Os1 0.0000 0.5000 0.5000
Se1 0.5000 0.5000 0.0000

---

Record 3
DFT (PBE) results for crystalline MnOs2Se at its relaxed geometry.

Values from the calculation:
raw formation energy	0.68	eV/atom
ρ	14.0	g/cm3

Unit cell a=2.7976 b=4.6925 c=9.2825 alpha=90.00 beta=90.00 gamma=90.00
Space group Cmmm (No. 65)
Unique sites:
Mn1 0.0000 0.0000 0.0000
Os1 0.0000 0.5000 0.2252
Se1 0.0000 0.0000 0.5000

---

Record 4
DFT (PBE) results for crystalline Mn2OsSe at its relaxed geometry.

Values from the calculation:
raw formation energy	0.23	eV/atom
ρ	12.0	g/cm3

Unit cell a=2.8058 b=2.8058 c=6.6683 alpha=90.00 beta=90.00 gamma=90.00
Space group P4/mmm (No. 123)
Unique sites:
Mn1 0.0000 0.0000 0.2440
Os1 0.5000 0.5000 0.5000
Se1 0.5000 0.5000 0.0000

---

Record 5
DFT (PBE) results for crystalline MnOs2Se at its relaxed geometry.

Values from the calculation:
raw formation energy	0.59	eV/atom
ρ	14.5	g/cm3

Unit cell a=2.8335 b=4.5327 c=4.5971 alpha=90.00 beta=90.00 gamma=90.00
Space group Pmmm (No. 47)
Unique sites:
Mn1 0.0000 0.0000 0.0000
Os1 0.0000 0.5000 0.5000
Os2 0.5000 0.5000 0.0000
Se1 0.5000 0.0000 0.5000

---

Record 6
DFT (PBE) results for crystalline MnOs2Se at its relaxed geometry.

Values from the calculation:
raw formation energy	0.49	eV/atom
ρ	14.6	g/cm3

Unit cell a=2.8725 b=2.8725 c=24.6451 alpha=90.00 beta=90.00 gamma=120.00
Space group R-3m (No. 166, hexagonal axes)
Unique sites:
Mn1 0.0000 0.0000 0.0000
Os1 0.0000 0.0000 0.2520
Se1 0.0000 0.0000 0.5000

---

Record 7
DFT (PBE) results for crystalline MnOsSe2 at its relaxed geometry.

Values from the calculation:
raw formation energy	0.55	eV/atom
ρ	11.5	g/cm3

Unit cell a=6.1553 b=6.1553 c=6.1553 alpha=90.00 beta=90.00 gamma=90.00
Space group Fm-3m (No. 225)
Unique sites:
Mn1 0.0000 0.0000 0.0000
Os1 0.0000 0.0000 0.5000
Se1 0.2500 0.2500 0.2500

---

Record 8
DFT (PBE) results for crystalline MnOs2Se at its relaxed geometry.

Values from the calculation:
raw formation energy	0.92	eV/atom
ρ	10.9	g/cm3

Unit cell a=5.4028 b=5.4028 c=10.7075 alpha=90.00 beta=90.00 gamma=90.00
Space group I-42d (No. 122)
Unique sites:
Mn1 0.0000 0.0000 0.0000
Os1 0.2244 0.2500 0.1250
Se1 0.0000 0.0000 0.5000

---

Record 9
DFT (PBE) results for crystalline Mn2OsSe at its relaxed geometry.

Values from the calculation:
raw formation energy	0.44	eV/atom
ρ	11.3	g/cm3

Unit cell a=8.5258 b=2.9332 c=4.4989 alpha=90.00 beta=96.94 gamma=90.00
Space group C2/m (No. 12)
Unique sites:
Mn1 0.2420 0.0000 0.2359
Os1 0.0000 0.5000 0.0000
Se1 0.0000 0.0000 0.5000

---

Record 10
DFT (PBE) results for crystalline MnOs2Se at its relaxed geometry.

Values from the calculation:
raw formation energy	0.66	eV/atom
ρ	14.6	g/cm3

Unit cell a=3.8651 b=3.8651 c=7.8423 alpha=90.00 beta=90.00 gamma=90.00
Space group I-4m2 (No. 119)
Unique sites:
Mn1 0.0000 0.0000 0.0000
Os1 0.0000 0.0000 0.5000
Os2 0.0000 0.5000 0.7500
Se1 0.0000 0.5000 0.2500

---

Record 11
DFT (PBE) results for crystalline MnOs2Se6 at its relaxed geometry.

Values from the calculation:
raw formation energy	-0.19	eV/atom
ρ	8.2	g/cm3

Unit cell a=10.6464 b=10.6464 c=5.5976 alpha=90.00 beta=90.00 gamma=120.00
Space group P-3m1 (No. 164)
Unique sites:
Mn1 0.0000 0.0000 0.0000
Mn2 0.3333 0.6667 0.4739
Os1 0.0000 0.3649 0.0000
Se1 0.1065 0.5532 0.6984
Se2 0.1198 0.2396 0.7771
Se3 0.2231 0.4463 0.2425

---

Record 12
DFT (PBE) results for crystalline MnOsSe2 at its relaxed geometry.

Values from the calculation:
raw formation energy	0.14	eV/atom
ρ	8.8	g/cm3

Unit cell a=3.1888 b=3.5291 c=6.7398 alpha=90.00 beta=90.00 gamma=90.00
Space group Pmm2 (No. 25)
Unique sites:
Mn1 0.0000 0.0000 0.0000
Os1 0.5000 0.5000 0.2237
Se1 0.0000 0.0000 0.3808
Se2 0.5000 0.5000 0.8540

---

Record 13
DFT (PBE) results for crystalline Mn2OsSe at its relaxed geometry.

Values from the calculation:
raw formation energy	0.30	eV/atom
ρ	11.0	g/cm3

Unit cell a=5.1822 b=7.3242 c=3.0064 alpha=90.00 beta=90.00 gamma=90.00
Space group Cmmm (No. 65)
Unique sites:
Mn1 0.2500 0.2500 0.0000
Os1 0.0000 0.0000 0.5000
Se1 0.0000 0.5000 0.5000

---

Record 14
DFT (PBE) results for crystalline MnOs2Se at its relaxed geometry.

Values from the calculation:
raw formation energy	0.37	eV/atom
ρ	14.5	g/cm3

Unit cell a=3.8940 b=2.8503 c=10.5968 alpha=90.00 beta=90.00 gamma=90.00
Space group Amm2 (No. 38)
Unique sites:
Mn1 0.0000 0.0000 0.0000
Os1 0.0000 0.0000 0.2469
Os2 0.5000 0.0000 0.6359
Se1 0.5000 0.0000 0.4029

---

Record 15
DFT (PBE) results for crystalline MnOs2Se at its relaxed geometry.

Values from the calculation:
raw formation energy	0.67	eV/atom
ρ	13.2	g/cm3

Unit cell a=2.8129 b=4.6955 c=9.8053 alpha=90.00 beta=90.00 gamma=90.00
Space group Cmm2 (No. 35)
Unique sites:
Mn1 0.0000 0.0000 0.0000
Os1 0.0000 0.0000 0.4491
Os2 0.0000 0.5000 0.2234
Se1 0.0000 0.5000 0.7899

---

Record 16
DFT (PBE) results for crystalline MnOsSe3 at its relaxed geometry.

Values from the calculation:
raw formation energy	1.17	eV/atom
ρ	8.6	g/cm3

Unit cell a=4.5349 b=4.5349 c=4.5349 alpha=90.00 beta=90.00 gamma=90.00
Space group Pm-3m (No. 221)
Unique sites:
Mn1 0.0000 0.0000 0.0000
Os1 0.5000 0.5000 0.5000
Se1 0.0000 0.0000 0.5000

---

Record 17
DFT (PBE) results for crystalline Mn2OsSe at its relaxed geometry.

Values from the calculation:
raw formation energy	0.40	eV/atom
ρ	11.7	g/cm3

Unit cell a=2.9815 b=4.3142 c=8.3540 alpha=90.00 beta=90.00 gamma=90.00
Space group Immm (No. 71)
Unique sites:
Mn1 0.0000 0.0000 0.2347
Os1 0.0000 0.5000 0.0000
Se1 0.0000 0.5000 0.5000

---

Record 18
DFT (PBE) results for crystalline MnOsSe2 at its relaxed geometry.

Values from the calculation:
raw formation energy	0.20	eV/atom
ρ	8.4	g/cm3

Unit cell a=7.7513 b=3.1385 c=6.6114 alpha=90.00 beta=95.84 gamma=90.00
Space group Cm (No. 8)
Unique sites:
Mn1 0.0000 0.0000 0.0000
Os1 0.2660 0.0000 0.8141
Se1 0.0481 0.5000 0.6172
Se2 0.2197 0.5000 0.1440

---

Record 19
DFT (PBE) results for crystalline Mn2OsSe at its relaxed geometry.

Values from the calculation:
raw formation energy	0.38	eV/atom
ρ	10.9	g/cm3

Unit cell a=2.8349 b=2.8349 c=24.9100 alpha=90.00 beta=90.00 gamma=120.00
Space group R3m (No. 160, hexagonal axes)
Unique sites:
Mn1 0.0000 0.0000 0.0000
Mn2 0.0000 0.0000 0.2519
Os1 0.0000 0.0000 0.7432
Se1 0.0000 0.0000 0.5161

---

Record 20
DFT (PBE) results for crystalline MnOsSe2 at its relaxed geometry.

Values from the calculation:
raw formation energy	0.30	eV/atom
ρ	9.4	g/cm3

Unit cell a=7.2698 b=3.3384 c=6.0981 alpha=90.00 beta=105.90 gamma=90.00
Space group C2/m (No. 12)
Unique sites:
Mn1 0.0000 0.0000 0.0000
Os1 0.0000 0.5000 0.5000
Se1 0.2477 0.5000 0.2722

---

Record 21
DFT (PBE) results for crystalline MnOs2Se at its relaxed geometry.

Values from the calculation:
raw formation energy	0.74	eV/atom
ρ	14.4	g/cm3

Unit cell a=6.1915 b=6.1915 c=6.1915 alpha=90.00 beta=90.00 gamma=90.00
Space group F-43m (No. 216)
Unique sites:
Mn1 0.0000 0.0000 0.0000
Os1 0.0000 0.0000 0.5000
Os2 0.2500 0.2500 0.7500
Se1 0.2500 0.2500 0.2500

---

Record 22
DFT (PBE) results for crystalline MnOsSe2 at its relaxed geometry.

Values from the calculation:
raw formation energy	-0.01	eV/atom
ρ	7.4	g/cm3

Unit cell a=3.7213 b=3.7477 c=12.9777 alpha=90.00 beta=90.00 gamma=90.00
Space group Immm (No. 71)
Unique sites:
Mn1 0.0000 0.0000 0.0000
Os1 0.0000 0.0000 0.5000
Se1 0.0000 0.5000 0.3695

---

Record 23
DFT (PBE) results for crystalline MnOsSe2 at its relaxed geometry.

Values from the calculation:
raw formation energy	0.63	eV/atom
ρ	10.4	g/cm3

Unit cell a=3.8029 b=3.8029 c=8.8750 alpha=90.00 beta=90.00 gamma=90.00
Space group I-4m2 (No. 119)
Unique sites:
Mn1 0.0000 0.0000 0.0000
Os1 0.0000 0.5000 0.7500
Se1 0.0000 0.0000 0.5000
Se2 0.0000 0.5000 0.2500

---

Record 24
DFT (PBE) results for crystalline MnOs2Se at its relaxed geometry.

Values from the calculation:
raw formation energy	0.45	eV/atom
ρ	14.0	g/cm3

Unit cell a=2.8775 b=3.6670 c=5.7795 alpha=90.00 beta=90.00 gamma=90.00
Space group Pmm2 (No. 25)
Unique sites:
Mn1 0.0000 0.0000 0.0000
Os1 0.0000 0.0000 0.4605
Os2 0.5000 0.5000 0.2627
Se1 0.5000 0.5000 0.8135

---

Record 25
DFT (PBE) results for crystalline MnOs2Se at its relaxed geometry.

Values from the calculation:
raw formation energy	0.35	eV/atom
ρ	14.6	g/cm3

Unit cell a=2.8969 b=2.8969 c=6.9846 alpha=90.00 beta=90.00 gamma=90.00
Space group P4mm (No. 99)
Unique sites:
Mn1 0.0000 0.0000 0.0000
Os1 0.0000 0.0000 0.5069
Os2 0.5000 0.5000 0.2719
Se1 0.5000 0.5000 0.7819

---

Record 26
DFT (PBE) results for crystalline MnOsSe2 at its relaxed geometry.

Values from the calculation:
raw formation energy	0.44	eV/atom
ρ	10.9	g/cm3

Unit cell a=3.1173 b=3.1173 c=6.3174 alpha=90.00 beta=90.00 gamma=90.00
Space group P4/mmm (No. 123)
Unique sites:
Mn1 0.0000 0.0000 0.0000
Os1 0.0000 0.0000 0.5000
Se1 0.5000 0.5000 0.2445

---

Record 27
DFT (PBE) results for crystalline Mn2OsSe at its relaxed geometry.

Values from the calculation:
raw formation energy	0.36	eV/atom
ρ	10.1	g/cm3

Unit cell a=3.0097 b=4.2130 c=9.8640 alpha=90.00 beta=90.00 gamma=90.00
Space group Imm2 (No. 44)
Unique sites:
Mn1 0.0000 0.0000 0.0000
Mn2 0.0000 0.5000 0.2055
Os1 0.0000 0.5000 0.7376
Se1 0.0000 0.0000 0.4398

---

Record 28
DFT (PBE) results for crystalline Mn2SiOs at its relaxed geometry.

Values from the calculation:
raw formation energy	-0.04	eV/atom
ρ	11.0	g/cm3

Unit cell a=2.6545 b=2.6545 c=24.3626 alpha=90.00 beta=90.00 gamma=120.00
Space group R-3m (No. 166, hexagonal axes)
Unique sites:
Mn1 0.0000 0.0000 0.2464
Si1 0.0000 0.0000 0.5000
Os1 0.0000 0.0000 0.0000

---

Record 29
DFT (PBE) results for crystalline Mn2SiOs at its relaxed geometry.

Values from the calculation:
raw formation energy	-0.14	eV/atom
ρ	10.7	g/cm3

Unit cell a=3.6442 b=3.6442 c=3.8242 alpha=90.00 beta=90.00 gamma=90.00
Space group P4/mmm (No. 123)
Unique sites:
Mn1 0.0000 0.5000 0.0000
Si1 0.0000 0.0000 0.5000
Os1 0.5000 0.5000 0.5000